[1]
This record from Alexandria via LeMat-Bulk describes a relaxed structure of Pr3Hg5Pd2. The functional is GGA-PBE.

Lattice parameters (Å, degrees): 6.495 9.506 9.506 85.89 70.03 70.03
Fractional coordinates of all 20 atoms:
Hg 0.124 0.529 0.223
Pr 0.868 0.860 0.403
Hg 0.250 0.500 0.500
Pr 0.750 0.000 0.000
Pr 0.368 0.403 0.860
Hg 0.876 0.471 0.777
Hg 0.624 0.223 0.529
Pd 0.132 0.728 0.008
Hg 0.004 0.746 0.746
Hg 0.504 0.746 0.746
Pd 0.868 0.272 0.992
Hg 0.996 0.254 0.254
Pr 0.132 0.140 0.597
Hg 0.750 0.500 0.500
Pd 0.368 0.992 0.272
Hg 0.496 0.254 0.254
Pd 0.632 0.008 0.728
Pr 0.632 0.597 0.140
Pr 0.250 0.000 0.000
Hg 0.376 0.777 0.471

Space group: Ibam
VASP energy: -2.965 eV per atom
E_form: -0.341 eV per atom

[2]
This record from Alexandria via LeMat-Bulk describes a relaxed structure of Zr2Tl2Cr. The functional is GGA-PBE.

Lattice parameters (Å, degrees): 7.274 7.274 4.088 90.00 90.00 90.00
Fractional coordinates of all 10 atoms:
Zr 0.831 0.331 0.500
Zr 0.331 0.169 0.500
Cr 0.000 0.000 0.000
Tl 0.859 0.641 0.000
Tl 0.141 0.359 0.000
Tl 0.359 0.859 0.000
Zr 0.669 0.831 0.500
Cr 0.500 0.500 0.000
Zr 0.169 0.669 0.500
Tl 0.641 0.141 0.000

Space group: P4/mbm
VASP energy: -5.873 eV per atom
E_form: 0.417 eV per atom